[1]
Li2ZnAg: relaxed, PBE.

Cell and atoms, written as extended XYZ:
```
4
Lattice="-1.962 2.035 3.913 1.962 -2.035 3.913 1.962 2.035 -3.913" Properties=species:S:1:pos:R:3 pbc="T T T"
Li 0.000 0.000 1.952
Li 0.000 0.000 5.875
Zn 1.962 0.000 0.000
Ag 0.000 2.035 0.000
```

Values from the calculation:
Space-group type: Immm (71)

[2]
Li6ZnAg10: relaxed, PBE.

Cell and atoms, written as extended XYZ:
```
17
Lattice="7.639 0.000 0.000 -3.819 6.615 0.000 0.000 0.000 5.591" Properties=species:S:1:pos:R:3 pbc="T T T"
Li -1.429 2.475 1.660
Li -2.390 4.140 3.931
Li 2.858 0.000 1.660
Li 1.429 2.475 3.931
Li 4.781 0.000 3.931
Li 2.390 4.140 1.660
Zn 0.000 0.000 2.796
Ag -1.059 1.835 4.534
Ag -2.760 4.780 1.057
Ag 2.119 0.000 4.534
Ag 1.059 1.835 1.057
Ag 0.000 4.410 0.000
Ag 0.000 4.410 2.796
Ag 3.819 2.205 0.000
Ag 3.819 2.205 2.796
Ag 5.520 0.000 1.057
Ag 2.760 4.780 4.534
```

Values from the calculation:
Space-group type: P-31m (162)

[3]
Li5Zn4Ag2: relaxed, PBE.

Cell and atoms, written as extended XYZ:
```
11
Lattice="4.520 -2.852 0.000 4.520 2.852 0.000 -1.623 0.000 6.862" Properties=species:S:1:pos:R:3 pbc="T T T"
Li 0.000 0.000 0.000
Li 2.824 1.263 4.674
Li 4.593 1.263 2.189
Li 2.824 -1.263 4.674
Li 4.593 -1.263 2.189
Zn 2.179 0.000 2.310
Zn 1.496 0.000 6.823
Zn 5.922 0.000 0.039
Zn 5.239 0.000 4.552
Ag 0.394 0.000 4.388
Ag 7.023 0.000 2.474
```

Values from the calculation:
Relative energy among the computed polymorphs, meV/atom: 34
Space-group type: C2/m (12)

no.,ΔE_f (kJ per mole of atoms),raw total energy (Ry per atom)
1,-18,-0.1598
2,-13,-0.1881
3,-10,-0.1434